Entry 1:
# Rb2VHCl6 | Alexandria via LeMat-Bulk | GGA-PBE | optimized geometry
data_Rb2VHCl6
_chemical_formula_sum 'Rb2 V1 H1 Cl6'
_cell_length_a 7.174
_cell_length_b 7.174
_cell_length_c 7.174
_cell_angle_alpha 113.68
_cell_angle_beta 113.68
_cell_angle_gamma 101.34
_space_group_name_H-M_alt 'P 1'
_space_group_IT_number 1
loop_
_space_group_symop_operation_xyz
'x,y,z'
loop_
_atom_site_label
_atom_site_fract_x
_atom_site_fract_y
_atom_site_fract_z
Rb1 0.250 0.750 0.500
Rb2 0.750 0.250 0.500
V1 0.000 0.000 0.000
H1 0.500 0.500 0.000
Cl1 0.209 0.209 0.419
Cl2 0.209 0.791 0.000
Cl3 0.324 0.324 0.000
Cl4 0.676 0.676 0.000
Cl5 0.791 0.209 0.000
Cl6 0.791 0.791 0.581
# Symmetry: I4/mmm
# M_tot, Bohr magnetons per cell: 2.00
# E, eV per cell: -38.48

=====

Entry 2:
# GaPRu2 | Alexandria via LeMat-Bulk | GGA-PBE | optimized geometry
data_GaPRu2
_chemical_formula_sum 'Ga2 P2 Ru4'
_cell_length_a 5.487
_cell_length_b 5.487
_cell_length_c 5.487
_cell_angle_alpha 103.83
_cell_angle_beta 103.83
_cell_angle_gamma 121.46
_space_group_name_H-M_alt 'P 1'
_space_group_IT_number 1
loop_
_space_group_symop_operation_xyz
'x,y,z'
loop_
_atom_site_label
_atom_site_fract_x
_atom_site_fract_y
_atom_site_fract_z
Ga1 0.000 0.000 0.000
Ga2 0.750 0.250 0.500
P1 0.250 0.750 0.500
P2 0.500 0.500 0.000
Ru1 0.191 0.625 0.066
Ru2 0.375 0.441 0.566
Ru3 0.559 0.125 0.934
Ru4 0.875 0.809 0.434
# Symmetry: I-42d
# Energy of formation, meV per atom: -32
# M_tot, Bohr magnetons per cell: 0.00
# E, eV per cell: -54.23

=====

Entry 3:
# CsNi3Cl | Alexandria via LeMat-Bulk | GGA-PBE | optimized geometry
data_CsNi3Cl
_chemical_formula_sum 'Cs1 Ni3 Cl1'
_cell_length_a 4.839
_cell_length_b 4.839
_cell_length_c 4.839
_cell_angle_alpha 90.00
_cell_angle_beta 90.00
_cell_angle_gamma 90.00
_space_group_name_H-M_alt 'P 1'
_space_group_IT_number 1
loop_
_space_group_symop_operation_xyz
'x,y,z'
loop_
_atom_site_label
_atom_site_fract_x
_atom_site_fract_y
_atom_site_fract_z
Cs1 0.000 0.000 0.000
Ni1 0.000 0.000 0.500
Ni2 0.000 0.500 0.000
Ni3 0.500 0.000 0.000
Cl1 0.500 0.500 0.500
# Formation energy without anion corrections, kcal/mol of atoms: 43.390
# Symmetry: Pm-3m
# M_tot, Bohr magnetons per cell: 0.00
# E, eV per cell: -10.64

=====

Entry 4:
# InH2Pd9Pb3 | Alexandria via LeMat-Bulk | GGA-PBE | optimized geometry
data_InH2Pd9Pb3
_chemical_formula_sum 'In1 H2 Pd9 Pb3'
_cell_length_a 5.718
_cell_length_b 5.718
_cell_length_c 9.102
_cell_angle_alpha 90.00
_cell_angle_beta 90.00
_cell_angle_gamma 120.00
_space_group_name_H-M_alt 'P 1'
_space_group_IT_number 1
loop_
_space_group_symop_operation_xyz
'x,y,z'
loop_
_atom_site_label
_atom_site_fract_x
_atom_site_fract_y
_atom_site_fract_z
In1 0.000 0.000 0.000
H1 0.333 0.667 0.613
H2 0.667 0.333 0.387
Pd1 0.000 0.500 0.500
Pd2 0.169 0.338 0.765
Pd3 0.169 0.831 0.765
Pd4 0.338 0.169 0.235
Pd5 0.500 0.000 0.500
Pd6 0.500 0.500 0.500
Pd7 0.662 0.831 0.765
Pd8 0.831 0.169 0.235
Pd9 0.831 0.662 0.235
Pb1 0.000 0.000 0.500
Pb2 0.333 0.667 0.181
Pb3 0.667 0.333 0.819
# Symmetry: P-3m1
# M_tot, Bohr magnetons per cell: 0.00
# E, eV per cell: -70.59

=====

Q: Number 3 is which compound?
A: CsNi3Cl